# SmBiSe2O (PBE-GGA, relaxed)
# Mass density ... 7.1 Mg/m³
# M_tot ... 0.0 Bohr magnetons per cell
# Energy relative to the elements, uncorrected ... -1.680 eV/atom
data_SmBiSe2O
_chemical_formula_sum 'Sm2 Bi2 Se4 O2'
_cell_length_a 4.070
_cell_length_b 4.070
_cell_length_c 14.988
_cell_angle_alpha 90.00
_cell_angle_beta 90.00
_cell_angle_gamma 90.00
_symmetry_space_group_name_H-M 'P 4/n m m'
_symmetry_Int_Tables_number 129
loop_
_symmetry_equiv_pos_as_xyz
'x,y,z'
'-x,-y,-z'
'-y+1/2,x,z'
'y+1/2,-x,-z'
'-x+1/2,-y+1/2,z'
'x+1/2,y+1/2,-z'
'y,-x+1/2,z'
'-y,x+1/2,-z'
'x+1/2,-y,-z'
'-x+1/2,y,z'
'-y,-x,-z'
'y,x,z'
'-x,y+1/2,-z'
'x,-y+1/2,z'
'y+1/2,x+1/2,-z'
'-y+1/2,-x+1/2,z'
loop_
_atom_site_label
_atom_site_type_symbol
_atom_site_fract_x
_atom_site_fract_y
_atom_site_fract_z
_atom_site_occupancy
Sm1 Sm 0.250 0.250 0.076 1
Bi1 Bi 0.250 0.250 0.640 1
Se1 Se 0.250 0.250 0.402 1
Se2 Se 0.250 0.250 0.818 1
O1 O 0.250 0.750 0.000 1



# TcBiSe2O (PBE-GGA, relaxed)
# Mass density ... 4.9 Mg/m³
# M_tot ... 2.0 Bohr magnetons per cell
# Energy relative to the elements, uncorrected ... 1.793 eV/atom
data_TcBiSe2O
_chemical_formula_sum 'Tc1 Bi1 Se2 O1'
_cell_length_a 5.517
_cell_length_b 5.517
_cell_length_c 5.302
_cell_angle_alpha 90.00
_cell_angle_beta 90.00
_cell_angle_gamma 90.00
_symmetry_space_group_name_H-M 'P 4/m m m'
_symmetry_Int_Tables_number 123
_symmetry_space_group_name_Hall '-P 4 2'
loop_
_atom_site_label
_atom_site_type_symbol
_atom_site_fract_x
_atom_site_fract_y
_atom_site_fract_z
_atom_site_occupancy
Tc1 Tc 0.000 0.000 0.000 1
Bi1 Bi 0.000 0.000 0.500 1
Se1 Se 0.000 0.500 0.500 1
O1 O 0.500 0.500 0.000 1



# Tl2BiSe2O6 (PBE-GGA, relaxed)
# Mass density ... 6.7 Mg/m³
# M_tot ... 0.0 Bohr magnetons per cell
# Energy relative to the elements, uncorrected ... -0.788 eV/atom
data_Tl2BiSe2O6
_chemical_formula_sum 'Tl4 Bi2 Se4 O12'
_cell_length_a 9.780
_cell_length_b 6.275
_cell_length_c 7.568
_cell_angle_alpha 90.00
_cell_angle_beta 112.26
_cell_angle_gamma 90.00
_symmetry_space_group_name_H-M 'C 1 2/m 1'
_symmetry_Int_Tables_number 12
_symmetry_space_group_name_Hall '-C 2y'
loop_
_atom_site_label
_atom_site_type_symbol
_atom_site_fract_x
_atom_site_fract_y
_atom_site_fract_z
_atom_site_occupancy
Tl1 Tl 0.224 0.000 0.140 1
Bi1 Bi 0.000 0.000 0.500 1
Se1 Se 0.108 0.500 0.276 1
O1 O 0.008 0.284 0.726 1
O2 O 0.244 0.500 0.503 1



# TlBiSe2O8 (PBE-GGA, relaxed)
# Mass density ... 5.3 Mg/m³
# M_tot ... 0.0 Bohr magnetons per cell
# Energy relative to the elements, uncorrected ... -0.846 eV/atom
data_TlBiSe2O8
_chemical_formula_sum 'Tl3 Bi3 Se6 O24'
_cell_length_a 5.3805
_cell_length_b 5.3805
_cell_length_c 26.1497
_cell_angle_alpha 90.00
_cell_angle_beta 90.00
_cell_angle_gamma 120.00
_symmetry_space_group_name_H-M 'R -3'
_symmetry_Int_Tables_number 148
_symmetry_space_group_name_Hall '-R 3'
loop_
_atom_site_label
_atom_site_type_symbol
_atom_site_fract_x
_atom_site_fract_y
_atom_site_fract_z
_atom_site_occupancy
Tl1 Tl 0.0000 0.0000 0.0000 1
Bi1 Bi 0.0000 0.0000 0.5000 1
Se1 Se 0.0000 0.0000 0.2435 1
O1 O 0.0000 0.0000 0.3065 1
O2 O 0.0028 0.7064 0.2212 1



# TlBi2SeO (PBE-GGA, relaxed)
# Mass density ... 8.3 Mg/m³
# M_tot ... 0.0 Bohr magnetons per cell
# Energy relative to the elements, uncorrected ... 0.414 eV/atom
data_TlBi2SeO
_chemical_formula_sum 'Tl1 Bi2 Se1 O1'
_cell_length_a 5.908
_cell_length_b 5.908
_cell_length_c 4.129
_cell_angle_alpha 90.00
_cell_angle_beta 90.00
_cell_angle_gamma 90.00
_symmetry_space_group_name_H-M 'P 4/m m m'
_symmetry_Int_Tables_number 123
_symmetry_space_group_name_Hall '-P 4 2'
loop_
_atom_site_label
_atom_site_type_symbol
_atom_site_fract_x
_atom_site_fract_y
_atom_site_fract_z
_atom_site_occupancy
Tl1 Tl 0.000 0.000 0.000 1
Bi1 Bi 0.000 0.500 0.000 1
Se1 Se 0.500 0.500 0.500 1
O1 O 0.000 0.000 0.500 1



# UBiSe2O (PBE-GGA, relaxed)
# Mass density ... 8.4 Mg/m³
# M_tot ... 4.9 Bohr magnetons per cell
# Energy relative to the elements, uncorrected ... -1.354 eV/atom
data_UBiSe2O
_chemical_formula_sum 'U2 Bi2 Se4 O2'
_cell_length_a 3.951
_cell_length_b 3.951
_cell_length_c 15.640
_cell_angle_alpha 90.00
_cell_angle_beta 90.00
_cell_angle_gamma 90.00
_symmetry_space_group_name_H-M 'P 4/n m m'
_symmetry_Int_Tables_number 129
loop_
_symmetry_equiv_pos_as_xyz
'x,y,z'
'-x,-y,-z'
'-y+1/2,x,z'
'y+1/2,-x,-z'
'-x+1/2,-y+1/2,z'
'x+1/2,y+1/2,-z'
'y,-x+1/2,z'
'-y,x+1/2,-z'
'x+1/2,-y,-z'
'-x+1/2,y,z'
'-y,-x,-z'
'y,x,z'
'-x,y+1/2,-z'
'x,-y+1/2,z'
'y+1/2,x+1/2,-z'
'-y+1/2,-x+1/2,z'
loop_
_atom_site_label
_atom_site_type_symbol
_atom_site_fract_x
_atom_site_fract_y
_atom_site_fract_z
_atom_site_occupancy
U1 U 0.250 0.250 0.079 1
Bi1 Bi 0.250 0.250 0.633 1
Se1 Se 0.250 0.250 0.421 1
Se2 Se 0.250 0.250 0.830 1
O1 O 0.250 0.750 0.000 1